Record 1
A plane-wave DFT calculation with PBE-GGA was carried out for BaNaEuSb after structural relaxation.

```
BaNaEuSb
1.0
0.000 4.139 4.139
4.139 0.000 4.139
4.139 4.139 0.000
Ba Na Eu Sb
1 1 1 1
direct
0.000 0.000 0.000 Ba
0.750 0.750 0.750 Na
0.500 0.500 0.500 Eu
0.250 0.250 0.250 Sb
```

Formation energy without anion corrections (eV/atom): -0.5135
M_tot (μB/f.u.): 7.25

Record 2
A plane-wave DFT calculation with PBE-GGA was carried out for ErTh2Cu6 after structural relaxation.

```
ErTh2Cu6
1.0
7.470 0.000 0.000
-3.735 6.469 0.000
0.000 0.000 3.556
Er Th Cu
1 2 6
direct
0.000 0.000 0.000 Er
0.333 0.667 0.000 Th
0.667 0.333 0.000 Th
0.000 0.331 0.500 Cu
0.000 0.669 0.500 Cu
0.331 0.000 0.500 Cu
0.331 0.331 0.500 Cu
0.669 0.000 0.500 Cu
0.669 0.669 0.500 Cu
```

Energy of formation (meV/atom): -212
M_tot (μB/f.u.): 0.00

Record 3
A plane-wave DFT calculation with PBE-GGA was carried out for RbAu2I after structural relaxation.

```
RbAu2I
1.0
0.000 3.887 3.887
3.887 0.000 3.887
3.887 3.887 0.000
Rb Au I
1 2 1
direct
0.000 0.000 0.000 Rb
0.250 0.250 0.250 Au
0.750 0.750 0.750 Au
0.500 0.500 0.500 I
```

Formation energy without anion corrections (eV/atom): 0.1592
M_tot (μB/f.u.): 0.00

Record 4
A plane-wave DFT calculation with PBE-GGA was carried out for Zr6BiRh after structural relaxation.

```
Zr6BiRh
1.0
3.937 2.273 3.221
-3.937 2.273 3.221
0.000 -4.546 3.221
Zr Bi Rh
6 1 1
direct
0.001 0.501 0.741 Zr
0.259 0.999 0.499 Zr
0.499 0.259 0.999 Zr
0.501 0.741 0.001 Zr
0.741 0.001 0.501 Zr
0.999 0.499 0.259 Zr
0.000 0.000 0.000 Bi
0.500 0.500 0.500 Rh
```

Energy of formation (meV/atom): -273
M_tot (μB/f.u.): 0.00

Record 5
A plane-wave DFT calculation with PBE-GGA was carried out for Sc3Si3Ni after structural relaxation.

```
Sc3Si3Ni
1.0
4.997 -1.882 0.000
4.997 1.882 0.000
-2.565 0.000 12.640
Sc Si Ni
6 6 2
direct
0.084 0.084 0.274 Sc
0.155 0.155 0.047 Sc
0.162 0.162 0.574 Sc
0.838 0.838 0.426 Sc
0.845 0.845 0.953 Sc
0.916 0.916 0.726 Sc
0.363 0.363 0.278 Si
0.440 0.440 0.575 Si
0.445 0.445 0.113 Si
0.555 0.555 0.887 Si
0.560 0.560 0.425 Si
0.637 0.637 0.722 Si
0.186 0.186 0.827 Ni
0.814 0.814 0.173 Ni
```

Formation energy without anion corrections (eV/atom): -0.6893
M_tot (μB/f.u.): 0.00

Record 6
A plane-wave DFT calculation with PBE-GGA was carried out for KP2Pt after structural relaxation.

```
KP2Pt
1.0
1.964 1.134 6.500
-1.964 1.134 6.500
0.000 -2.268 6.500
K P Pt
1 2 1
direct
0.000 0.000 0.000 K
0.214 0.214 0.214 P
0.786 0.786 0.786 P
0.500 0.500 0.500 Pt
```

Energy of formation (meV/atom): -427
M_tot (μB/f.u.): 0.00

Record 7
A plane-wave DFT calculation with PBE-GGA was carried out for NbBF3 after structural relaxation.

```
NbBF3
1.0
4.232 0.000 0.000
0.000 4.232 0.000
0.000 0.000 4.232
Nb B F
1 1 3
direct
0.000 0.000 0.000 Nb
0.500 0.500 0.500 B
0.000 0.000 0.500 F
0.000 0.500 0.000 F
0.500 0.000 0.000 F
```

Formation energy without anion corrections (eV/atom): -0.8842
M_tot (μB/f.u.): 3.00

Record 8
A plane-wave DFT calculation with PBE-GGA was carried out for Na6AlAu2 after structural relaxation.

```
Na6AlAu2
1.0
2.646 1.528 9.709
-2.646 1.528 9.709
0.000 -3.055 9.709
Na Al Au
6 1 2
direct
0.080 0.080 0.080 Na
0.200 0.200 0.200 Na
0.310 0.310 0.310 Na
0.690 0.690 0.690 Na
0.800 0.800 0.800 Na
0.920 0.920 0.920 Na
0.500 0.500 0.500 Al
0.415 0.415 0.415 Au
0.585 0.585 0.585 Au
```

Energy of formation (meV/atom): -173
M_tot (μB/f.u.): 0.00

Record 9
A plane-wave DFT calculation with PBE-GGA was carried out for ScAl3I after structural relaxation.

```
ScAl3I
1.0
5.574 0.000 0.000
0.000 5.574 0.000
0.000 0.000 5.574
Sc Al I
1 3 1
direct
0.000 0.000 0.000 Sc
0.000 0.000 0.500 Al
0.000 0.500 0.000 Al
0.500 0.000 0.000 Al
0.500 0.500 0.500 I
```

Formation energy without anion corrections (eV/atom): 0.8053
M_tot (μB/f.u.): 2.31

Record 10
A plane-wave DFT calculation with PBE-GGA was carried out for BeSb3W after structural relaxation.

```
BeSb3W
1.0
4.829 0.000 0.000
0.000 4.829 0.000
0.000 0.000 4.829
Be Sb W
1 3 1
direct
0.000 0.000 0.000 Be
0.000 0.000 0.500 Sb
0.000 0.500 0.000 Sb
0.500 0.000 0.000 Sb
0.500 0.500 0.500 W
```

Formation energy without anion corrections (eV/atom): 1.2407
M_tot (μB/f.u.): 2.87

Record 11
A plane-wave DFT calculation with PBE-GGA was carried out for MnAlCl after structural relaxation.

```
MnAlCl
1.0
0.000 3.124 3.124
3.124 0.000 3.124
3.124 3.124 0.000
Mn Al Cl
1 1 1
direct
0.000 0.000 0.000 Mn
0.250 0.250 0.250 Al
0.750 0.750 0.750 Cl
```

Formation energy without anion corrections (eV/atom): 0.4794
M_tot (μB/f.u.): 3.16

Record 12
A plane-wave DFT calculation with PBE-GGA was carried out for Ce3PmPr2S6 after structural relaxation.

```
Ce3PmPr2S6
1.0
3.511 -6.085 0.000
3.511 6.085 0.000
-2.345 0.000 6.628
Ce Pm Pr S
3 1 2 6
direct
0.000 0.000 0.000 Ce
0.332 0.668 0.000 Ce
0.668 0.332 0.000 Ce
0.500 0.500 0.500 Pm
0.167 0.833 0.500 Pr
0.833 0.167 0.500 Pr
0.086 0.416 0.247 S
0.255 0.255 0.755 S
0.416 0.086 0.247 S
0.584 0.914 0.753 S
0.745 0.745 0.245 S
0.914 0.584 0.753 S
```

Formation energy without anion corrections (eV/atom): -2.0384
M_tot (μB/f.u.): 2.57